1.
5
Lattice="-1.8942 2.4083 -3.7589 2.9811 -2.3571 -3.0124 -3.3230 -3.4873 -0.5597" Properties=species:S:1:pos:R:3 comment="Li3AgBr GGA-PBE relaxed" sg="Pm-3m, No. 221" e_above_lowest_polymorph_mev_per_atom=0 e_tot_ev_per_atom=-2.434 dos_ef_per_ev_cell=3.15 rho_g_cm3=3.04 e_form_raw_mev_per_atom=-381 m_tot_mub_per_atom=0.000 pbc="T T T"
Br 0.0000 0.0000 0.0000
Ag -1.1181 -1.7181 -3.6655
Li 1.4905 -1.1786 -1.5062
Li -1.6615 -1.7437 -0.2798
Li -0.9471 1.2041 -1.8795

2.
32
Lattice="8.2924 0.0000 0.0000 0.0000 11.4785 0.0000 0.0000 0.0000 11.1063" Properties=species:S:1:pos:R:3 comment="LiAg2Br5 GGA-PBE relaxed" sg="Pnnm, No. 58" e_tot_ev_per_atom=-2.463 dos_ef_per_ev_cell=32.76 rho_g_cm3=3.91 e_form_raw_mev_per_atom=-466 m_tot_mub_per_atom=0.000 pbc="T T T"
Li 0.0000 2.9259 2.4713
Li 4.1462 2.8133 8.0245
Li 4.1462 8.6651 3.0818
Li 0.0000 8.5526 8.6349
Ag 2.1122 0.0000 0.0000
Ag 6.1802 0.0000 0.0000
Ag 0.0000 1.4701 6.9622
Ag 4.1462 4.2691 1.4090
Ag 2.0340 5.7392 5.5531
Ag 6.2584 5.7392 5.5531
Ag 4.1462 7.2093 9.6972
Ag 0.0000 10.0084 4.1441
Br 0.0000 1.0561 9.5178
Br 4.1462 0.7078 9.3229
Br 0.0000 1.1871 4.3550
Br 2.1125 2.4174 1.2334
Br 6.1799 2.4174 1.2334
Br 2.0337 3.3218 6.7866
Br 6.2587 3.3218 6.7866
Br 4.1462 4.5521 9.9081
Br 0.0000 5.0315 3.7697
Br 4.1462 4.6832 3.9646
Br 4.1462 6.7953 7.1416
Br 0.0000 6.4470 7.3365
Br 4.1462 6.9264 1.1981
Br 2.0337 8.1566 4.3197
Br 6.2587 8.1566 4.3197
Br 2.1125 9.0611 9.8728
Br 6.1799 9.0611 9.8728
Br 0.0000 10.2913 6.7513
Br 4.1462 10.7707 1.7834
Br 0.0000 10.4224 1.5885

3.
5
Lattice="-3.7006 0.8550 0.1020 -0.7184 -2.8175 -2.4456 -3.1381 -5.6784 4.5124" Properties=species:S:1:pos:R:3 comment="Li2Ag2Br GGA-PBE relaxed" sg="I4/mmm, No. 139" e_above_lowest_polymorph_mev_per_atom=0 e_tot_ev_per_atom=-2.679 dos_ef_per_ev_cell=1.26 rho_g_cm3=4.79 e_form_raw_mev_per_atom=-439 m_tot_mub_per_atom=0.000 pbc="T T T"
Br 0.0000 0.0000 0.0000
Ag -4.5241 -2.9023 1.7213
Ag -3.0330 -4.7386 0.4475
Li -2.4027 -1.9589 0.0112
Li -5.1543 -5.6821 2.1576

Which formula does entry 3 have? Li2Ag2Br